No. 1
Material: TbTm9Th2
Method: DFT, PBE
State: optimized geometry

Lattice parameters (Å, degrees): 3.4564 11.2146 11.2146 120.00 90.00 90.00
With the nearest neighbours (Å) after each atom.
Atoms (fractional coordinates):
Tm  0.0000  0.5000  0.5000  2 Th 3.24, 10 Tm 3.46-3.61
Tm  0.0000  0.0000  0.5000  2 Th 3.24, 10 Tm 3.46-3.61
Tm  0.5000  0.8255  0.6509  8 Tm 3.39-3.61, 2 Th 3.54
Tm  0.5000  0.8255  0.1745  8 Tm 3.39-3.61, 2 Th 3.54
Tm  0.5000  0.1745  0.8255  8 Tm 3.39-3.61, 2 Th 3.54
Tm  0.5000  0.6509  0.8255  8 Tm 3.39-3.61, 2 Th 3.54
Tm  0.0000  0.5000  0.0000  2 Th 3.24, 10 Tm 3.46-3.61
Tm  0.5000  0.3491  0.1745  8 Tm 3.39-3.61, 2 Th 3.54
Tm  0.5000  0.1745  0.3491  8 Tm 3.39-3.61, 2 Th 3.54
Tb  0.0000  0.0000  0.0000  2 Tb 3.46, 12 Tm 3.81
Th  0.0000  0.3333  0.6667  9 Tm 3.24-3.54, 2 Th 3.46
Th  0.0000  0.6667  0.3333  9 Tm 3.24-3.54, 2 Th 3.46

---

No. 2
Material: Tb2Tm6Th3
Method: DFT, PBE
State: optimized geometry

Lattice parameters (Å, degrees): 6.1033 6.1359 11.4158 84.42 78.72 60.18
With the nearest neighbours (Å) after each atom.
Atoms (fractional coordinates):
Tm  0.7543  0.0000  0.7557  3 Th 3.41, 2 Tb 3.48, 6 Tm 3.52-3.56
Tm  0.2457  0.0000  0.2443  3 Th 3.41, 2 Tb 3.48, 6 Tm 3.52-3.56
Tm  0.4212  0.6686  0.7516  3 Th 3.44-3.45, 2 Tb 3.48-3.53, 6 Tm 3.52-3.56
Tm  0.5788  0.3314  0.2484  3 Th 3.44-3.45, 2 Tb 3.48-3.53, 6 Tm 3.52-3.56
Tm  0.0898  0.3314  0.7516  3 Th 3.44-3.45, 2 Tb 3.48-3.53, 6 Tm 3.52-3.56
Tm  0.9102  0.6686  0.2484  3 Th 3.44-3.45, 2 Tb 3.48-3.53, 6 Tm 3.52-3.56
Th  0.3330  0.3340  0.0000  6 Tm 3.41-3.45, 6 Th 3.53-3.56
Th  0.6670  0.6660  0.0000  6 Tm 3.41-3.45, 6 Th 3.53-3.56
Th  0.0000  0.0000  0.0000  6 Tm 3.41-3.44, 6 Th 3.53-3.55
Tb  0.8366  0.3267  0.5000  6 Tm 3.48-3.53, 3 Tb 3.48-3.57
Tb  0.1634  0.6733  0.5000  6 Tm 3.48-3.53, 3 Tb 3.48-3.57

---

No. 3
Material: TbTm2Th4
Method: DFT, PBE
State: optimized geometry

Lattice parameters (Å, degrees): 6.8402 6.8404 13.4135 104.09 104.08 121.60
With the nearest neighbours (Å) after each atom.
Atoms (fractional coordinates):
Th  0.2300  0.7298  0.4997  3 Th 3.07-3.24, 2 Tm 3.42
Th  0.7111  0.7606  0.4857  6 Th 3.24-3.63, 1 Tm 3.25, 1 Tb 3.37
Th  0.2702  0.7700  0.0003  3 Th 3.07-3.24, 2 Tm 3.42
Th  0.2889  0.2394  0.5143  6 Th 3.24-3.63, 1 Tm 3.25, 1 Tb 3.37
Th  0.2395  0.2890  0.0144  6 Th 3.24-3.63, 1 Tm 3.25, 1 Tb 3.36
Th  0.7298  0.2300  0.9997  3 Th 3.07-3.24, 2 Tm 3.42
Th  0.7700  0.2702  0.5003  3 Th 3.07-3.24, 2 Tm 3.42
Th  0.7605  0.7110  0.9856  6 Th 3.24-3.63, 1 Tm 3.25, 1 Tb 3.36
Tm  0.6222  0.3778  0.2500  6 Th 3.25-3.63, 1 Tb 3.44, 2 Tm 3.62
Tm  0.3778  0.6222  0.7500  6 Th 3.25-3.63, 1 Tb 3.44, 2 Tm 3.62
Tm  0.2393  0.7606  0.2499  4 Th 3.42, 2 Tm 3.62
Tm  0.7607  0.2394  0.7501  4 Th 3.42, 2 Tm 3.62
Tb  0.0899  0.9101  0.7501  2 Th 3.36-3.37, 1 Tm 3.44
Tb  0.9101  0.0899  0.2499  2 Th 3.36-3.37, 1 Tm 3.44

---

No. 4
Material: Tb5Tm4Th
Method: DFT, PBE
State: optimized geometry

Lattice parameters (Å, degrees): 5.4261 10.1902 6.4751 89.13 114.77 90.00
With the nearest neighbours (Å) after each atom.
Atoms (fractional coordinates):
Tb  0.1917  0.0621  0.3833  2 Tb 3.28, 5 Tm 3.32-3.65, 3 Th 3.59-3.67
Tb  0.1962  0.4330  0.3924  5 Tb 3.30-3.65, 5 Tm 3.30-3.64
Tb  0.8038  0.5670  0.6076  5 Tb 3.30-3.65, 5 Tm 3.30-3.64
Tb  0.8083  0.9379  0.6167  2 Tb 3.28, 5 Tm 3.32-3.65, 3 Th 3.59-3.67
Tb  0.5000  0.5000  0.0000  2 Tm 3.25, 4 Tb 3.62
Tm  0.0461  0.7486  0.0921  1 Tm 3.28, 4 Tb 3.37-3.65
Tm  0.3247  0.7502  0.6494  7 Tb 3.25-3.59, 1 Tm 3.28, 1 Th 3.30
Tm  0.6753  0.2498  0.3506  7 Tb 3.25-3.59, 1 Tm 3.28, 1 Th 3.30
Tm  0.9539  0.2514  0.9079  1 Tm 3.28, 4 Tb 3.37-3.65
Th  0.5000  0.0000  0.0000  2 Tm 3.30, 6 Tb 3.59-3.67

---

No. 5
Material: Tb2Tm2Th5
Method: DFT, PBE
State: optimized geometry

Lattice parameters (Å, degrees): 4.9932 6.1817 10.6756 73.48 76.48 66.18
With the nearest neighbours (Å) after each atom.
Atoms (fractional coordinates):
Th  0.0007  0.6686  0.3301  5 Th 3.53-3.63, 2 Tm 3.54, 5 Tb 3.56-3.58
Th  0.6645  0.8925  0.7785  5 Th 3.53-3.59, 4 Tm 3.55-3.57, 3 Tb 3.55-3.58
Th  0.0000  0.0000  0.0000  6 Th 3.53-3.54, 6 Tm 3.55-3.56
Th  0.9993  0.3314  0.6699  5 Th 3.53-3.63, 2 Tm 3.54, 5 Tb 3.56-3.58
Th  0.3355  0.1075  0.2215  5 Th 3.53-3.59, 4 Tm 3.55-3.57, 3 Tb 3.55-3.58
Tm  0.3324  0.4444  0.8908  2 Tm 3.52, 9 Th 3.54-3.57, 1 Tb 3.57
Tm  0.6676  0.5556  0.1092  2 Tm 3.52, 9 Th 3.54-3.57, 1 Tb 3.57
Tb  0.6661  0.2244  0.4435  8 Th 3.55-3.58, 3 Tb 3.56-3.57, 1 Tm 3.57
Tb  0.3339  0.7756  0.5565  8 Th 3.55-3.58, 3 Tb 3.56-3.57, 1 Tm 3.57

---

No. 6
Material: TbTm4Th2
Method: DFT, PBE
State: optimized geometry

Lattice parameters (Å, degrees): 3.4433 8.4979 8.8474 120.68 83.53 97.40
With the nearest neighbours (Å) after each atom.
Atoms (fractional coordinates):
Tm  0.0359  0.8347  0.2842  7 Tm 3.40-3.67, 1 Tb 3.47, 4 Th 3.49-3.63
Tm  0.3793  0.7320  0.5799  1 Tb 3.43, 7 Tm 3.44-3.67, 2 Th 3.47-3.51
Tm  0.9641  0.1653  0.7158  7 Tm 3.40-3.67, 1 Tb 3.47, 4 Th 3.49-3.63
Tm  0.6207  0.2680  0.4201  1 Tb 3.43, 7 Tm 3.44-3.67, 2 Th 3.47-3.51
Tb  0.0000  0.0000  0.0000  2 Th 3.26, 4 Tm 3.43-3.47, 2 Tb 3.44
Th  0.4140  0.4137  0.1328  1 Tb 3.26, 3 Th 3.32-3.44, 6 Tm 3.47-3.63
Th  0.5860  0.5863  0.8672  1 Tb 3.26, 3 Th 3.32-3.44, 6 Tm 3.47-3.63

---

No. 7
Material: Tb6TmTh2
Method: DFT, PBE
State: optimized geometry

Lattice parameters (Å, degrees): 5.0529 7.9565 7.9469 84.19 71.44 71.46
With the nearest neighbours (Å) after each atom.
Atoms (fractional coordinates):
Th  0.3321  0.4999  0.8359  8 Tb 3.50-3.55, 2 Th 3.53-3.54, 2 Tm 3.57-3.58
Th  0.6679  0.5001  0.1641  8 Tb 3.50-3.55, 2 Th 3.53-3.54, 2 Tm 3.57-3.58
Tb  0.3292  0.1747  0.1667  3 Th 3.50-3.52, 1 Tm 3.51, 8 Tb 3.56-3.65
Tb  0.0043  0.8253  0.1666  3 Th 3.50-3.52, 1 Tm 3.51, 8 Tb 3.56-3.65
Tb  0.6648  0.1703  0.5000  2 Tm 3.54-3.55, 2 Th 3.55, 8 Tb 3.56-3.62
Tb  0.6708  0.8253  0.8333  3 Th 3.50-3.52, 1 Tm 3.51, 8 Tb 3.56-3.65
Tb  0.3352  0.8297  0.5000  2 Tm 3.54-3.55, 2 Th 3.55, 8 Tb 3.56-3.62
Tb  0.9957  0.1747  0.8334  3 Th 3.50-3.52, 1 Tm 3.51, 8 Tb 3.56-3.65
Tm  0.0000  0.5000  0.5000  8 Tb 3.51-3.55, 4 Th 3.57-3.58

---

No. 8
Material: Tb6TmTh
Method: DFT, PBE
State: optimized geometry

Lattice parameters (Å, degrees): 5.0370 5.0370 10.0109 90.00 90.00 90.00
With the nearest neighbours (Å) after each atom.
Atoms (fractional coordinates):
Tb  0.5000  0.0000  0.7488  8 Tb 3.54-3.56, 2 Th 3.54, 2 Tm 3.56
Tb  0.5000  0.5000  0.0000  8 Tb 3.56, 4 Tm 3.56
Tb  0.0000  0.5000  0.2512  8 Tb 3.54-3.56, 2 Th 3.54, 2 Tm 3.56
Tb  0.5000  0.0000  0.2512  8 Tb 3.54-3.56, 2 Th 3.54, 2 Tm 3.56
Tb  0.5000  0.5000  0.5000  8 Tb 3.54, 4 Th 3.56
Tb  0.0000  0.5000  0.7488  8 Tb 3.54-3.56, 2 Th 3.54, 2 Tm 3.56
Tm  0.0000  0.0000  0.0000  12 Tb 3.56
Th  0.0000  0.0000  0.5000  12 Tb 3.54-3.56

---

No. 9
Material: Tb8TmTh2
Method: DFT, PBE
State: optimized geometry

Lattice parameters (Å, degrees): 6.6421 6.6241 8.9685 111.67 99.32 90.00
With the nearest neighbours (Å) after each atom.
Atoms (fractional coordinates):
Tb  0.1845  0.8026  0.6053  4 Th 3.40-3.63, 3 Tb 3.49-3.69, 1 Tm 3.71
Tb  0.4013  0.8258  0.1732  4 Tb 3.17-3.49, 2 Th 3.27-3.41, 1 Tm 3.29
Tb  0.5987  0.6527  0.8268  4 Tb 3.17-3.49, 2 Th 3.27-3.41, 1 Tm 3.29
Tb  0.8155  0.1974  0.3947  4 Th 3.40-3.63, 3 Tb 3.49-3.69, 1 Tm 3.71
Tb  0.5987  0.1742  0.8268  4 Tb 3.17-3.49, 2 Th 3.27-3.41, 1 Tm 3.29
Tb  0.9042  0.5912  0.1824  1 Th 3.36, 8 Tb 3.50-3.69, 2 Tm 3.74
Tb  0.0958  0.4088  0.8176  1 Th 3.36, 8 Tb 3.50-3.69, 2 Tm 3.74
Tb  0.4013  0.3473  0.1732  4 Tb 3.17-3.49, 2 Th 3.27-3.41, 1 Tm 3.29
Th  0.3344  0.2466  0.4932  9 Tb 3.27-3.63
Th  0.6656  0.7534  0.5068  9 Tb 3.27-3.63
Tm  0.0000  0.0000  0.0000  4 Tb 3.29

---

No. 10
Material: Tb8Tm3Th4
Method: DFT, PBE
State: optimized geometry

Lattice parameters (Å, degrees): 6.7181 9.2399 9.2399 88.08 111.11 111.11
With the nearest neighbours (Å) after each atom.
Atoms (fractional coordinates):
Th  0.0000  0.0000  0.5000  6 Tb 3.22-3.59, 2 Tm 3.36
Th  0.0000  0.0000  0.0000  2 Th 3.36, 4 Tb 3.43-3.53
Th  0.0000  0.5000  0.0000  6 Tb 3.22-3.59, 2 Tm 3.36
Th  0.5000  0.0000  0.0000  6 Tb 3.28-3.44, 2 Th 3.36
Tb  0.9984  0.2652  0.2652  4 Th 3.22-3.53, 2 Tb 3.24-3.48, 1 Tm 3.25
Tb  0.0000  0.3555  0.6445  2 Th 3.59, 7 Tb 3.60-3.74, 4 Tm 3.60-3.84
Tb  0.5000  0.7447  0.2553  3 Tm 3.14-3.32, 3 Th 3.28-3.34
Tb  0.4895  0.7410  0.7410  3 Tm 3.21-3.24, 2 Tb 3.24-3.48, 2 Th 3.41-3.43
Tb  0.0000  0.6445  0.3555  2 Th 3.59, 7 Tb 3.60-3.74, 4 Tm 3.60-3.84
Tb  0.5105  0.2590  0.2590  3 Tm 3.21-3.24, 2 Tb 3.24-3.48, 2 Th 3.41-3.43
Tb  0.5000  0.2553  0.7447  3 Tm 3.14-3.32, 3 Th 3.28-3.34
Tb  0.0016  0.7348  0.7348  4 Th 3.22-3.53, 2 Tb 3.24-3.48, 1 Tm 3.25
Tm  0.5000  0.0000  0.5000  4 Tb 3.21-3.32, 2 Th 3.36
Tm  0.5000  0.5000  0.0000  4 Tb 3.21-3.32, 2 Th 3.36
Tm  0.5000  0.5000  0.5000  6 Tb 3.14-3.25

---

no.,calculated formation energy (eV/atom),raw total energy (eV for the cell shown),total moment (μB/cell)
1,0.1086,-58.41,0.00
2,0.1834,-56.33,0.00
3,0.2378,-83.18,0.00
4,0.1929,-46.53,0.00
5,0.0499,-54.85,0.00
6,0.1164,-36.54,0.00
7,0.0292,-46.83,0.00
8,0.0345,-39.40,0.00
9,0.1833,-54.34,0.00
10,0.4257,-73.75,0.00